(1)
## Ce2AlGa8 (GGA-PBE)

Data for a relaxed Ce2AlGa8 crystal.

Results
The formation energy is -364 meV per atom. For the volume, the calculation gives 223.1 Å³/cell. For the mass density, the calculation gives 6.44 g/cm3.

abc: 4.454 4.454 11.245
angles: 90.00 90.00 90.00
Site moments in Bohr magnetons follow the coordinates.
Sites, in units of the cell vectors:
Ce1 0.000 0.000 0.309  0.44
Ce2 0.000 0.000 0.691  0.44
Al1 0.000 0.000 0.000  0.00
Ga1 0.000 0.500 0.500  0.02
Ga2 0.500 0.000 0.500  0.02
Ga3 0.500 0.500 0.315  0.02
Ga4 0.500 0.500 0.685  0.02
Ga5 0.000 0.500 0.127  0.01
Ga6 0.500 0.000 0.127  0.01
Ga7 0.000 0.500 0.873  0.01
Ga8 0.500 0.000 0.873  0.01

=====

(2)
## Ce6AlGa (GGA-PBE)

Data for a relaxed Ce6AlGa crystal.

Results
The formation energy is -202 meV per atom. For the volume, the calculation gives 201.9 Å³/cell. For the mass density, the calculation gives 7.71 g/cm3.

abc: 4.656 4.656 9.311
angles: 90.00 90.00 90.00
Site moments in Bohr magnetons follow the coordinates.
Sites, in units of the cell vectors:
Ce1 0.500 0.500 0.000  0.63
Ce2 0.500 0.500 0.500  0.63
Ce3 0.500 0.000 0.249  0.62
Ce4 0.500 0.000 0.751  0.62
Ce5 0.000 0.500 0.249  0.62
Ce6 0.000 0.500 0.751  0.62
Al1 0.000 0.000 0.500  -0.01
Ga1 0.000 0.000 0.000  0.00

=====

(3)
## CeAl3Ga2 (GGA-PBE)

Data for a relaxed CeAl3Ga2 crystal.

Results
The formation energy is -286 meV per atom. For the volume, the calculation gives 236.7 Å³/cell. For the mass density, the calculation gives 5.06 g/cm3.

abc: 4.508 7.967 8.006
angles: 60.58 73.65 73.57
Site moments in Bohr magnetons follow the coordinates.
Sites, in units of the cell vectors:
Ce1 0.150 0.787 0.913  0.59
Ce2 0.850 0.213 0.087  0.59
Al1 0.705 0.029 0.561  0.00
Al2 0.043 0.285 0.629  0.00
Al3 0.406 0.511 0.678  0.00
Al4 0.594 0.489 0.322  0.00
Al5 0.957 0.715 0.371  0.00
Al6 0.295 0.971 0.439  0.00
Ga1 0.517 0.133 0.833  0.00
Ga2 0.483 0.867 0.167  0.00
Ga3 0.189 0.369 0.253  0.00
Ga4 0.811 0.631 0.747  0.00

=====

(4)
## Ce2AlGa4 (GGA-PBE)

Data for a relaxed Ce2AlGa4 crystal.

Results
The formation energy is -202 meV per atom. For the volume, the calculation gives 162.9 Å³/cell. For the mass density, the calculation gives 5.98 g/cm3.

abc: 3.581 6.744 6.744
angles: 90.00 90.00 90.00
Site moments in Bohr magnetons follow the coordinates.
Sites, in units of the cell vectors:
Ce1 0.500 0.000 0.500  0.48
Ce2 0.500 0.500 0.000  0.48
Al1 0.000 0.000 0.000  0.00
Ga1 0.000 0.698 0.698  0.01
Ga2 0.000 0.302 0.302  0.01
Ga3 0.000 0.698 0.302  0.01
Ga4 0.000 0.302 0.698  0.01

=====

(5)
## CeAl3Ga (GGA-PBE)

Data for a relaxed CeAl3Ga crystal.

Results
The formation energy is -366 meV per atom. For the volume, the calculation gives 99.9 Å³/cell. For the mass density, the calculation gives 4.83 g/cm3.

abc: 6.364 6.364 6.364
angles: 141.33 141.33 55.84
Site moments in Bohr magnetons follow the coordinates.
Sites, in units of the cell vectors:
Ce1 0.597 0.597 0.000  0.63
Al1 0.849 0.349 0.500  0.00
Al2 0.349 0.849 0.500  0.00
Al3 0.209 0.209 0.000  0.00
Ga1 0.988 0.988 0.000  -0.01

=====

(6)
## CeAl2Ga4 (GGA-PBE)

Data for a relaxed CeAl2Ga4 crystal.

Results
The formation energy is -141 meV per atom. For the volume, the calculation gives 155.3 Å³/cell. For the mass density, the calculation gives 5.06 g/cm3.

abc: 4.149 4.149 10.686
angles: 78.81 78.81 60.00
Site moments in Bohr magnetons follow the coordinates.
Sites, in units of the cell vectors:
Ce1 0.000 0.000 0.000  0.79
Al1 0.813 0.813 0.561  0.00
Al2 0.187 0.187 0.439  0.00
Ga1 0.730 0.730 0.811  0.00
Ga2 0.899 0.899 0.303  -0.01
Ga3 0.270 0.270 0.189  0.00
Ga4 0.101 0.101 0.697  -0.01